VASP calculation (GGA-PBE) on CdFeIrW2 after structural relaxation.

The calculation puts the calculated total energy at -6.6826 eV per atom.

Cell: 4.7557 4.7557 4.9877 Å, 90.00 90.00 90.00°
Last column: nearest neighbours and their distance in Å.
Space group P4/mmm (No. 123)
One atom of each set of equivalent atoms:
1 Cd 0.0000 0.0000 0.0000 x1  2 Ir 2.49
2 Fe 0.5000 0.5000 0.0000 x1  4 Cd 3.36, 8 W 3.45
3 Ir 0.0000 0.0000 0.5000 x1  4 W 2.38, 2 Cd 2.49
4 W 0.0000 0.5000 0.5000 x2  2 Ir 2.38

***

VASP calculation (GGA-PBE) on YCdFeIr2 after structural relaxation.

The calculation puts the calculated total energy at -4.5393 eV per atom.

Cell: 4.9521 4.9521 5.4044 Å, 90.00 90.00 90.00°
Last column: nearest neighbours and their distance in Å.
Space group P4/mmm (No. 123)
One atom of each set of equivalent atoms:
1 Y 0.0000 0.0000 0.0000 x1  4 Ir 2.48, 2 Cd 2.70
2 Cd 0.0000 0.0000 0.5000 x1  2 Y 2.70
3 Fe 0.5000 0.5000 0.5000 x1  4 Cd 3.50, 8 Ir 3.67
4 Ir 0.0000 0.5000 0.0000 x2  2 Y 2.48

***

VASP calculation (GGA-PBE) on KCd2Fe after structural relaxation.

The calculation puts the calculated total energy at -2.3489 eV per atom.

Cell: 2.9868 5.7690 11.5290 Å, 90.00 90.00 90.00°
Last column: nearest neighbours and their distance in Å.
Space group Immm (No. 71)
One atom of each set of equivalent atoms:
1 K 0.0000 0.0000 0.0000 x2  2 K 2.99, 4 Fe 3.25
2 Cd 0.0000 0.5000 0.2005 x4  2 Fe 2.75, 2 Cd 2.99
3 Fe 0.0000 0.0000 0.5000 x2  4 Cd 2.75, 2 Fe 2.99

***

VASP calculation (GGA-PBE) on KCdFe3 after structural relaxation.

The calculation puts the calculated total energy at -4.0091 eV per atom.

Cell: 5.0411 5.0411 5.0411 Å, 90.00 90.00 90.00°
Last column: nearest neighbours and their distance in Å.
Space group Pm-3m (No. 221)
One atom of each set of equivalent atoms:
1 K 0.0000 0.0000 0.0000 x1  12 Fe 3.56
2 Cd 0.5000 0.5000 0.5000 x1  6 Fe 2.52
3 Fe 0.0000 0.5000 0.5000 x3  2 Cd 2.52

***

VASP calculation (GGA-PBE) on KCd2Fe after structural relaxation.

The calculation puts the calculated total energy at -2.2750 eV per atom.

Cell: 5.6013 5.6013 17.9282 Å, 90.00 90.00 90.00°
Last column: nearest neighbours and their distance in Å.
Space group I-42d (No. 122)
One atom of each set of equivalent atoms:
1 K 0.0000 0.0000 0.0000 x4  8 Cd 3.72-3.98, 4 Fe 3.96
2 Cd 0.0319 0.2500 0.6250 x8  2 Fe 2.65, 2 Cd 2.82
3 Fe 0.0000 0.0000 0.5000 x4  4 Cd 2.65

***

VASP calculation (GGA-PBE) on KCd2Fe after structural relaxation.

The calculation puts the calculated total energy at -2.2569 eV per atom.

Cell: 6.9724 9.0215 2.9633 Å, 90.00 90.19 90.00°
Last column: nearest neighbours and their distance in Å.
Space group C2/m (No. 12)
One atom of each set of equivalent atoms:
1 K 0.0000 0.0000 0.0000 x2  2 K 2.96, 8 Cd 3.21-3.22
2 Cd 0.2500 0.2500 0.5000 x4  2 Cd 2.96, 4 Fe 3.21-3.22, 4 K 3.21-3.22
3 Fe 0.0000 0.5000 0.0000 x2  2 Fe 2.96, 8 Cd 3.21-3.22

***

VASP calculation (GGA-PBE) on KCdFe3 after structural relaxation.

The calculation puts the calculated total energy at -3.2341 eV per atom.

Cell: 4.5600 4.5600 4.5600 Å, 90.00 90.00 90.00°
Last column: nearest neighbours and their distance in Å.
Space group Pm-3m (No. 221)
One atom of each set of equivalent atoms:
1 K 0.0000 0.0000 0.0000 x1  6 Fe 2.28
2 Cd 0.5000 0.5000 0.5000 x1  12 Fe 3.22
3 Fe 0.0000 0.0000 0.5000 x3  2 K 2.28

***

VASP calculation (GGA-PBE) on KCd2Fe after structural relaxation.

The calculation puts the calculated total energy at -2.3899 eV per atom.

Cell: 9.8236 3.0007 7.1157 Å, 90.00 95.05 90.00°
Last column: nearest neighbours and their distance in Å.
Space group Cm (No. 8)
One atom of each set of equivalent atoms:
1 K 0.0000 0.0000 0.0000 x2  2 K 3.00
2 Cd 0.2388 0.0000 0.6749 x2  2 Fe 2.76, 2 Cd 3.00
3 Cd 0.4963 0.0000 0.4484 x2  3 Fe 2.75-2.78, 2 Cd 3.00
4 Fe 0.2621 0.5000 0.3534 x2  5 Cd 2.75-2.78, 2 Fe 3.00

***

VASP calculation (GGA-PBE) on KCd2Fe after structural relaxation.

The calculation puts the calculated total energy at -2.4077 eV per atom.

Cell: 2.9718 4.3987 7.9299 Å, 90.00 90.00 90.00°
Last column: nearest neighbours and their distance in Å.
Space group Pmm2 (No. 25)
One atom of each set of equivalent atoms:
1 K 0.0000 0.0000 0.0000 x1  2 K 2.97
2 Cd 0.0000 0.0000 0.5648 x1  4 Fe 2.77, 2 Cd 2.97
3 Cd 0.5000 0.5000 0.3220 x1  1 Fe 2.72, 2 Cd 2.97
4 Fe 0.5000 0.5000 0.6652 x1  5 Cd 2.72-2.77, 2 Fe 2.97

***

VASP calculation (GGA-PBE) on KCdFe2 after structural relaxation.

The calculation puts the calculated total energy at -3.6885 eV per atom.

Cell: 5.8899 9.7168 2.7357 Å, 90.00 90.00 90.00°
Last column: nearest neighbours and their distance in Å.
Space group Cmmm (No. 65)
One atom of each set of equivalent atoms:
1 K 0.0000 0.0000 0.0000 x2  2 K 2.74, 2 Cd 2.94
2 Cd 0.0000 0.5000 0.0000 x2  2 Cd 2.74, 2 K 2.94
3 Fe 0.2500 0.2500 0.5000 x4  4 Fe 2.74-2.94

***

VASP calculation (GGA-PBE) on KCdFe2 after structural relaxation.

The calculation puts the calculated total energy at -3.8169 eV per atom.

Cell: 4.7038 4.7038 19.4546 Å, 90.00 90.00 90.00°
Last column: nearest neighbours and their distance in Å.
Space group I4_1/amd (No. 141, origin choice 2)
One atom of each set of equivalent atoms:
1 K 0.0000 0.2500 0.3750 x4  4 Cd 3.33, 8 Fe 3.58
2 Cd 0.0000 0.2500 0.8750 x4  4 Fe 2.70
3 Fe 0.0000 0.0000 0.0000 x8  2 Fe 2.35

***

VASP calculation (GGA-PBE) on KCdFe2 after structural relaxation.

The calculation puts the calculated total energy at -4.0700 eV per atom.

Cell: 2.9268 4.8586 6.8231 Å, 90.00 96.74 90.00°
Last column: nearest neighbours and their distance in Å.
Space group P2/m (No. 10)
One atom of each set of equivalent atoms:
1 K 0.0000 0.0000 0.0000 x1  2 K 2.93
2 Cd 0.5000 0.0000 0.5000 x1  4 Fe 2.71, 2 Cd 2.93
3 Fe 0.2633 0.5000 0.6308 x2  2 Fe 2.22-2.38

***

VASP calculation (GGA-PBE) on KCdFe2 after structural relaxation.

The calculation puts the calculated total energy at -3.6135 eV per atom.

Cell: 4.2361 4.2361 8.9091 Å, 90.00 90.00 90.00°
Last column: nearest neighbours and their distance in Å.
Space group I4/mmm (No. 139)
One atom of each set of equivalent atoms:
1 K 0.0000 0.0000 0.0000 x2  4 Cd 3.00, 8 Fe 3.07
2 Cd 0.0000 0.0000 0.5000 x2  4 K 3.00, 8 Fe 3.07
3 Fe 0.0000 0.5000 0.2500 x4  4 Fe 3.00, 4 Cd 3.07, 4 K 3.07

***

VASP calculation (GGA-PBE) on K2CdFe2 after structural relaxation.

The calculation puts the calculated total energy at -3.1019 eV per atom.

Cell: 9.8442 9.8442 3.0220 Å, 90.00 90.00 90.00°
Last column: nearest neighbours and their distance in Å.
Space group P4/mbm (No. 127)
One atom of each set of equivalent atoms:
1 K 0.2072 0.2928 0.0000 x4  2 K 3.02, 2 Fe 3.38
2 Cd 0.0000 0.0000 0.5000 x2  2 Cd 3.02
3 Fe 0.0756 0.5756 0.5000 x4  1 Fe 2.10

***

VASP calculation (GGA-PBE) on KCdFe2 after structural relaxation.

The calculation puts the calculated total energy at -3.6988 eV per atom.

Cell: 2.8207 5.2925 5.2931 Å, 90.00 90.00 90.00°
Last column: nearest neighbours and their distance in Å.
Space group Pmmm (No. 47)
One atom of each set of equivalent atoms:
1 K 0.0000 0.0000 0.0000 x1  2 K 2.82, 4 Cd 3.00, 4 Fe 3.00
2 Cd 0.5000 0.5000 0.0000 x1  2 Cd 2.82, 4 K 3.00, 4 Fe 3.00
3 Fe 0.0000 0.5000 0.5000 x1  6 Fe 2.82-3.00, 4 Cd 3.00
4 Fe 0.5000 0.0000 0.5000 x1  6 Fe 2.82-3.00, 4 K 3.00

***

VASP calculation (GGA-PBE) on KCd4Fe after structural relaxation.

The calculation puts the calculated total energy at -1.8303 eV per atom.

Cell: 8.3214 8.3214 8.3214 Å, 90.00 90.00 90.00°
Last column: nearest neighbours and their distance in Å.
Space group F-43m (No. 216)
One atom of each set of equivalent atoms:
1 K 0.0000 0.0000 0.0000 x4  12 Cd 3.45, 4 Fe 3.60
2 Cd 0.1239 0.1239 0.6239 x16  6 Cd 2.92-2.97
3 Fe 0.2500 0.2500 0.2500 x4  12 Cd 3.45, 4 K 3.60

***

VASP calculation (GGA-PBE) on KCdFe2 after structural relaxation.

The calculation puts the calculated total energy at -3.6813 eV per atom.

Cell: 4.6946 4.6946 7.3486 Å, 90.00 90.00 90.00°
Last column: nearest neighbours and their distance in Å.
Space group I-4m2 (No. 119)
One atom of each set of equivalent atoms:
1 K 0.0000 0.0000 0.0000 x2  4 Cd 2.98, 8 Fe 2.98-3.32
2 Cd 0.0000 0.5000 0.7500 x2  8 Fe 2.98-3.32, 4 K 2.98
3 Fe 0.0000 0.0000 0.5000 x2  4 Cd 2.98, 4 Fe 2.98, 4 K 3.32
4 Fe 0.0000 0.5000 0.2500 x2  4 Fe 2.98, 4 K 2.98, 4 Cd 3.32

***

VASP calculation (GGA-PBE) on KCdFe2 after structural relaxation.

The calculation puts the calculated total energy at -3.8411 eV per atom.

Cell: 2.8813 2.8813 9.6713 Å, 90.00 90.00 90.00°
Last column: nearest neighbours and their distance in Å.
Space group P4/mmm (No. 123)
One atom of each set of equivalent atoms:
1 K 0.0000 0.0000 0.0000 x1  4 K 2.88
2 Cd 0.0000 0.0000 0.5000 x1  8 Fe 2.82, 4 Cd 2.88
3 Fe 0.5000 0.5000 0.2978 x2  4 Cd 2.82, 4 Fe 2.88

***

VASP calculation (GGA-PBE) on KCdFe2 after structural relaxation.

The calculation puts the calculated total energy at -4.0281 eV per atom.

Cell: 2.8679 5.5519 10.6330 Å, 90.00 90.00 90.00°
Last column: nearest neighbours and their distance in Å.
Space group Imm2 (No. 44)
One atom of each set of equivalent atoms:
1 K 0.0000 0.0000 0.0000 x2  2 K 2.87, 4 Fe 3.16
2 Cd 0.0000 0.5000 0.8034 x2  2 Cd 2.87, 2 Fe 2.91
3 Fe 0.0000 0.0000 0.5421 x2  2 Fe 2.28
4 Fe 0.0000 0.5000 0.2084 x2  2 Fe 2.28

***

VASP calculation (GGA-PBE) on KCd2Fe after structural relaxation.

The calculation puts the calculated total energy at -2.4157 eV per atom.

Cell: 8.9618 2.9256 7.7792 Å, 90.00 94.61 90.00°
Last column: nearest neighbours and their distance in Å.
Space group C2/m (No. 12)
One atom of each set of equivalent atoms:
1 K 0.0000 0.0000 0.0000 x2  2 K 2.93
2 Cd 0.2353 0.0000 0.6736 x4  3 Fe 2.82, 4 Cd 2.93-3.10
3 Fe 0.0000 0.5000 0.5000 x2  6 Cd 2.82, 2 Fe 2.93

***

VASP calculation (GGA-PBE) on KCdFe2 after structural relaxation.

The calculation puts the calculated total energy at -3.6019 eV per atom.

Cell: 5.3172 5.3172 2.8109 Å, 90.00 90.00 90.00°
Last column: nearest neighbours and their distance in Å.
Space group P4/mmm (No. 123)
One atom of each set of equivalent atoms:
1 K 0.0000 0.0000 0.0000 x1  2 K 2.81, 8 Fe 3.01
2 Cd 0.5000 0.5000 0.0000 x1  2 Cd 2.81, 8 Fe 3.01
3 Fe 0.0000 0.5000 0.5000 x2  2 Fe 2.81, 4 Cd 3.01, 4 K 3.01

***

VASP calculation (GGA-PBE) on KCd2Fe after structural relaxation.

The calculation puts the calculated total energy at -2.3793 eV per atom.

Cell: 3.1133 3.1133 32.0126 Å, 90.00 90.00 120.00°
Last column: nearest neighbours and their distance in Å.
Space group R-3m (No. 166, hexagonal axes)
One atom of each set of equivalent atoms:
1 K 0.0000 0.0000 0.0000 x3  6 K 3.11
2 Cd 0.0000 0.0000 0.2356 x6  3 Fe 2.85, 6 Cd 3.11
3 Fe 0.0000 0.0000 0.5000 x3  6 Cd 2.85, 6 Fe 3.11

***

VASP calculation (GGA-PBE) on KCdFe2 after structural relaxation.

The calculation puts the calculated total energy at -4.0817 eV per atom.

Cell: 3.0500 3.0500 29.7246 Å, 90.00 90.00 120.00°
Last column: nearest neighbours and their distance in Å.
Space group R3m (No. 160, hexagonal axes)
One atom of each set of equivalent atoms:
1 K 0.0000 0.0000 0.0000 x3  6 K 3.05, 3 Fe 3.36
2 Cd 0.0000 0.0000 0.7726 x3  3 Fe 2.87, 6 Cd 3.05
3 Fe 0.0000 0.0000 0.2372 x3  3 Fe 2.40
4 Fe 0.0000 0.0000 0.5157 x3  3 Fe 2.40

***

VASP calculation (GGA-PBE) on KCd2Fe after structural relaxation.

The calculation puts the calculated total energy at -2.3819 eV per atom.

Cell: 3.6758 3.6758 8.0997 Å, 90.00 90.00 90.00°
Last column: nearest neighbours and their distance in Å.
Space group P4mm (No. 99)
One atom of each set of equivalent atoms:
1 K 0.0000 0.0000 0.0000 x1  5 Cd 3.46-3.67, 4 K 3.68, 4 Fe 3.81
2 Cd 0.0000 0.0000 0.5729 x1  4 Fe 2.69
3 Cd 0.5000 0.5000 0.3199 x1  1 Fe 2.73
4 Fe 0.5000 0.5000 0.6567 x1  5 Cd 2.69-2.73

***

VASP calculation (GGA-PBE) on KCd2Fe after structural relaxation.

The calculation puts the calculated total energy at -2.2841 eV per atom.

Cell: 3.0733 3.0733 33.1345 Å, 90.00 90.00 120.00°
Last column: nearest neighbours and their distance in Å.
Space group R3m (No. 160, hexagonal axes)
One atom of each set of equivalent atoms:
1 K 0.0000 0.0000 0.0000 x3  6 K 3.07, 3 Fe 3.35
2 Cd 0.0000 0.0000 0.5146 x3  3 Fe 2.82, 6 Cd 3.07
3 Cd 0.0000 0.0000 0.7620 x3  9 Cd 3.07-3.36
4 Fe 0.0000 0.0000 0.2474 x3  3 Cd 2.82, 6 Fe 3.07

***

VASP calculation (GGA-PBE) on KCdFe2 after structural relaxation.

The calculation puts the calculated total energy at -3.8262 eV per atom.

Cell: 2.8725 2.8725 31.9114 Å, 90.00 90.00 120.00°
Last column: nearest neighbours and their distance in Å.
Space group R-3m (No. 166, hexagonal axes)
One atom of each set of equivalent atoms:
1 K 0.0000 0.0000 0.0000 x3  6 K 2.87
2 Cd 0.0000 0.0000 0.5000 x3  6 Cd 2.87, 6 Fe 2.90
3 Fe 0.0000 0.0000 0.2411 x6  6 Fe 2.87, 3 Cd 2.90

***

VASP calculation (GGA-PBE) on KCdFe2 after structural relaxation.

The calculation puts the calculated total energy at -4.0978 eV per atom.

Cell: 9.6876 3.0118 6.7129 Å, 90.00 96.44 90.00°
Last column: nearest neighbours and their distance in Å.
Space group C2/m (No. 12)
One atom of each set of equivalent atoms:
1 K 0.0000 0.0000 0.0000 x2  2 K 3.01
2 Cd 0.0000 0.5000 0.5000 x2  6 Fe 2.78-2.79, 2 Cd 3.01
3 Fe 0.2349 0.0000 0.6237 x4  2 Fe 2.29

***

VASP calculation (GGA-PBE) on KCd2Fe after structural relaxation.

The calculation puts the calculated total energy at -2.1757 eV per atom.

Cell: 7.3072 7.3072 7.3072 Å, 90.00 90.00 90.00°
Last column: nearest neighbours and their distance in Å.
Space group F-43m (No. 216)
One atom of each set of equivalent atoms:
1 K 0.0000 0.0000 0.0000 x4  4 Fe 3.16, 4 Cd 3.16
2 Cd 0.0000 0.0000 0.5000 x4  4 Cd 3.16, 4 Fe 3.16
3 Cd 0.2500 0.2500 0.7500 x4  4 Cd 3.16, 4 K 3.16
4 Fe 0.2500 0.2500 0.2500 x4  4 Cd 3.16, 4 K 3.16

***

VASP calculation (GGA-PBE) on KCdFe2 after structural relaxation.

The calculation puts the calculated total energy at -3.7116 eV per atom.

Cell: 5.9424 10.1859 2.7619 Å, 90.00 110.27 90.00°
Last column: nearest neighbours and their distance in Å.
Space group C2/m (No. 12)
One atom of each set of equivalent atoms:
1 K 0.0000 0.0000 0.0000 x2  2 K 2.76, 2 Cd 2.97, 4 Fe 3.03
2 Cd 0.0000 0.5000 0.0000 x2  2 Cd 2.76, 2 K 2.97, 4 Fe 3.03
3 Fe 0.2500 0.2500 0.5000 x4  4 Fe 2.76-2.97, 2 Cd 3.03, 2 K 3.03